[1]
Computed, not measured: crystalline TaMn2Au at its relaxed geometry at the PBE level of DFT.

Cell: 9.0916 9.0916 9.0916 Å, 18.33 18.33 18.33°
Closest atoms and distances in Å follow each position.
Positions (direct):
Ta1 0.0000 0.0000 0.0000  6 Mn 2.78, 6 Ta 2.90
Mn1 0.2507 0.2507 0.2507  3 Ta 2.78, 3 Au 2.80, 6 Mn 2.90
Mn2 0.7493 0.7493 0.7493  3 Ta 2.78, 3 Au 2.80, 6 Mn 2.90
Au1 0.5000 0.5000 0.5000  6 Mn 2.80, 6 Au 2.90

Values from the calculation:
Electronic total energy ... -8.13 eV per atom
Calculated formation energy ... 22 kJ/mol of atoms
Space-group type ... R-3m (166)
Relative energy among the computed polymorphs ... 0.233 eV/atom



[2]
Computed, not measured: crystalline Sc2TiBeFe at its relaxed geometry at the PBE level of DFT.

Cell: 4.7987 4.7987 4.3549 Å, 90.00 90.00 90.00°
Closest atoms and distances in Å follow each position.
Positions (direct):
Sc1 0.0000 0.5000 0.0000  2 Fe 2.40
Sc2 0.5000 0.0000 0.0000  2 Fe 2.40
Ti1 0.0000 0.0000 0.5000  2 Fe 2.18
Be1 0.5000 0.5000 0.5000  8 Sc 3.24, 4 Ti 3.39
Fe1 0.0000 0.0000 0.0000  2 Ti 2.18, 4 Sc 2.40

Values from the calculation:
Electronic total energy ... -6.12 eV per atom
Calculated formation energy ... 42 kJ/mol of atoms
Space-group type ... P4/mmm (123)